## i
## LiGe3F (PBE-GGA)

Data for a relaxed structure of LiGe3F.

POSCAR file:
```
LiGe3F
1.0
-1.5507 -4.3084 -0.5158
-0.1477 -0.4950 4.5789
-4.3367 1.5575 0.0285
Ge Li F
3 1 1
Cartesian
-0.0738 -0.2475 2.2895
-2.1683 0.7787 0.0143
-0.7754 -2.1542 -0.2579
-3.0175 -1.6230 2.0458
0.0000 0.0000 0.0000
```

DOS at the Fermi energy in states/eV per cell: 1.290
Symmetry: No. 221



## ii
## LiGe3F (PBE-GGA)

Data for a relaxed structure of LiGe3F.

POSCAR file:
```
LiGe3F
1.0
4.5376 0.0000 0.0000
0.0000 4.5376 0.0000
0.0000 0.0000 4.5376
Ge Li F
3 1 1
Cartesian
0.0000 2.2688 0.0000
0.0000 0.0000 2.2688
2.2688 0.0000 0.0000
0.0000 0.0000 0.0000
2.2688 2.2688 2.2688
```

DOS at the Fermi energy in states/eV per cell: 2.645
Symmetry: No. 221



i (0.267 eV/atom below the next structure)



## i
## LiGeN2F (PBE-GGA)

Data for a relaxed structure of LiGeN2F.

POSCAR file:
```
LiGeN2F
1.0
4.0703 0.0000 0.0000
0.0000 4.0703 0.0000
0.0000 0.0000 3.4612
Ge N Li F
1 2 1 1
Cartesian
2.0351 2.0351 1.7306
0.0000 2.0351 0.0000
2.0351 0.0000 0.0000
0.0000 0.0000 0.0000
0.0000 0.0000 1.7306
```

DOS at the Fermi energy in states/eV per cell: 1.387
Symmetry: No. 123



## ii
## LiGeN2F (PBE-GGA)

Data for a relaxed structure of LiGeN2F.

POSCAR file:
```
LiGeN2F
1.0
-1.4888 -0.6951 -3.3042
3.3188 -0.9660 -1.2922
-0.7174 -4.0313 1.1713
Ge N Li F
1 2 1 1
Cartesian
0.0000 0.0000 0.0000
1.6594 -0.4830 -0.6461
-0.7444 -0.3476 -1.6521
0.5563 -2.8462 -1.7125
-0.3587 -2.0156 0.5857
```

DOS at the Fermi energy in states/eV per cell: 2.498
Symmetry: No. 123



ii (0.790 eV/atom below the next structure)



## i
## LiGeOF2 (PBE-GGA)

Data for a relaxed structure of LiGeOF2.

POSCAR file:
```
LiGeOF2
1.0
4.2316 0.0000 0.0000
0.0000 4.2316 0.0000
0.0000 0.0000 3.7858
Ge Li O F
1 1 1 2
Cartesian
0.0000 0.0000 0.0000
2.1158 2.1158 1.8929
0.0000 0.0000 1.8929
0.0000 2.1158 0.0000
2.1158 0.0000 0.0000
```

DOS at the Fermi energy in states/eV per cell: 0.495
Symmetry: No. 123



## ii
## LiGeOF2 (PBE-GGA)

Data for a relaxed structure of LiGeOF2.

POSCAR file:
```
LiGeOF2
1.0
-1.1440 -1.7849 -2.8965
1.8716 -2.8821 1.0368
-3.1966 -1.3274 2.0806
Ge Li O F
1 1 1 2
Cartesian
-1.2345 -2.9972 0.1104
0.0000 0.0000 0.0000
-1.5983 -0.6637 1.0403
0.9358 -1.4410 0.5184
-0.5720 -0.8924 -1.4482
```

DOS at the Fermi energy in states/eV per cell: 2.483
Symmetry: No. 123



i (0.406 eV/atom below the next structure)



## i
## LiTlGePF (PBE-GGA)

Data for a relaxed structure of LiTlGePF.

POSCAR file:
```
LiTlGePF
1.0
-5.7316 1.0711 -0.0731
-0.5734 -2.9423 1.8478
3.2604 2.2994 4.6732
Li Tl Ge P F
1 1 1 1 1
Cartesian
3.0245 2.2896 4.5844
-0.4463 0.4164 3.8799
-3.6106 -0.1514 1.9939
-3.5271 2.1615 2.3473
-0.0762 -1.2859 1.2842
```

DOS at the Fermi energy in states/eV per cell: 0.130
Symmetry: No. 6



## ii
## LiTlGePF (PBE-GGA)

Data for a relaxed structure of LiTlGePF.

POSCAR file:
```
LiTlGePF
1.0
5.4297 0.0000 0.0004
0.0000 3.6432 0.0000
-3.9039 0.0000 10.6658
Li Tl Ge P F
2 2 2 2 2
Cartesian
1.0708 0.0000 0.2363
-0.8811 1.8216 5.5692
1.7697 0.0000 3.5790
-0.1822 1.8216 8.9119
-2.5429 0.0000 7.1405
-0.5909 1.8216 1.8076
3.5601 0.0000 0.9805
1.6081 1.8216 6.3134
-3.1647 0.0000 9.1042
-1.2128 1.8216 3.7713
```

Symmetry: No. 8



i (0.073 eV/atom below the next structure)



## i
## LiTlGePF (PBE-GGA)

Data for a relaxed structure of LiTlGePF.

POSCAR file:
```
LiTlGePF
1.0
-2.2403 -2.5174 -0.8845
2.6140 -2.0544 -0.7737
0.1855 -5.7466 15.8862
Li Tl Ge P F
2 2 2 2 2
Cartesian
0.0968 -2.9990 8.2907
1.3110 -1.1529 -0.0393
-1.0828 -2.4143 2.7523
0.3169 -6.3148 10.3086
0.1581 -4.8981 13.5405
1.3723 -3.0520 5.2106
-1.0481 -3.4892 5.7240
0.3516 -7.3897 13.2802
0.0119 -0.3672 1.0151
1.4116 -4.2677 8.5714
```

DOS at the Fermi energy in states/eV per cell: 3.933
Symmetry: No. 38



## ii
## LiTlGePF (PBE-GGA)

Data for a relaxed structure of LiTlGePF.

POSCAR file:
```
LiTlGePF
1.0
3.7349 0.0000 0.0000
-1.8674 3.2345 0.0000
0.0000 0.0000 26.5896
P Tl F Ge Li
3 3 3 3 3
Cartesian
0.0000 0.0000 24.1287
0.0000 2.1563 15.2655
1.8674 1.0782 6.4023
0.0000 0.0000 11.2882
0.0000 2.1563 2.4251
1.8674 1.0782 20.1514
0.0000 0.0000 18.6451
0.0000 2.1563 9.7819
1.8674 1.0782 0.9187
0.0000 0.0000 5.2035
0.0000 2.1563 22.9299
1.8674 1.0782 14.0666
0.0000 0.0000 16.8411
0.0000 2.1563 7.9779
1.8674 1.0782 25.7043
```

DOS at the Fermi energy in states/eV per cell: 0.603
Symmetry: No. 160



ii (0.034 eV/atom below the next structure)



## i
## LiTlGePF (PBE-GGA)

Data for a relaxed structure of LiTlGePF.

POSCAR file:
```
LiTlGePF
1.0
6.1070 0.0000 0.0017
0.0000 3.5348 0.0000
-4.9043 0.0000 9.9717
Li Tl Ge P F
2 2 2 2 2
Cartesian
-1.7081 0.0000 5.5121
0.7441 1.7674 0.5262
4.1213 0.0000 2.1913
1.6691 1.7674 7.1772
-1.8448 0.0000 8.7261
0.6073 1.7674 3.7402
1.8449 0.0000 4.6626
-0.6072 1.7674 9.6484
1.3859 0.0000 0.3006
-1.0662 1.7674 5.2865
```

DOS at the Fermi energy in states/eV per cell: 0.117
Symmetry: No. 8



## ii
## LiTlGePF (PBE-GGA)

Data for a relaxed structure of LiTlGePF.

POSCAR file:
```
LiTlGePF
1.0
-1.7248 -2.7411 -1.4349
-0.8823 -2.7846 2.0051
-9.1146 3.2161 0.4745
Li Tl Ge P F
1 1 1 1 1
Cartesian
-1.3590 -1.1874 0.4075
-4.8581 -0.7672 -0.5319
-7.9099 -1.5240 0.2029
-8.0579 0.8240 0.2679
-2.5648 -2.8616 0.6804
```

DOS at the Fermi energy in states/eV per cell: 0.542
Symmetry: No. 1



ii (0.094 eV/atom below the next structure)



## i
## Mg2GeF (PBE-GGA)

Data for a relaxed structure of Mg2GeF.

POSCAR file:
```
Mg2GeF
1.0
-3.7672 -2.6141 -0.3526
-3.6543 1.5355 -2.3321
-1.1130 -1.8965 -4.0391
Ge Mg F
1 2 1
Cartesian
-4.2673 -1.4876 -3.3619
-2.1336 -0.7438 -1.6810
-6.4009 -2.2313 -5.0429
0.0000 0.0000 0.0000
```

DOS at the Fermi energy in states/eV per cell: 5.048
Symmetry: No. 225



## ii
## Mg2GeF (PBE-GGA)

Data for a relaxed structure of Mg2GeF.

POSCAR file:
```
Mg2GeF
1.0
-4.7481 1.8232 -1.7467
-2.1336 -0.9078 4.8521
-2.0367 5.6337 3.1385
Ge Mg F
2 4 2
Cartesian
0.0000 0.0000 0.0000
-5.1128 3.9573 1.4722
-3.3225 2.2728 0.4543
-2.8571 1.2306 3.4440
-4.2973 4.4881 3.9485
-7.3598 5.1067 4.6410
-3.4408 0.4577 1.5527
-3.8056 2.5918 4.7717
```

DOS at the Fermi energy in states/eV per cell: 2.433
Symmetry: No. 122



ii (0.225 eV/atom below the next structure)



## i
## MgGeNF2 (PBE-GGA)

Data for a relaxed structure of MgGeNF2.

POSCAR file:
```
MgGeNF2
1.0
-2.9071 -1.9261 1.0927
2.1653 -2.8503 0.7365
0.5995 1.5931 4.4030
Ge N Mg F
1 1 1 2
Cartesian
-0.0711 -1.5917 3.1161
0.2997 0.7965 2.2015
0.0000 0.0000 0.0000
1.0827 -1.4251 0.3682
-1.4535 -0.9631 0.5464
```

DOS at the Fermi energy in states/eV per cell: 1.057
Symmetry: No. 123



## ii
## MgGeNF2 (PBE-GGA)

Data for a relaxed structure of MgGeNF2.

POSCAR file:
```
MgGeNF2
1.0
4.1355 0.0000 0.0000
0.0000 4.1355 0.0000
0.0000 0.0000 3.9027
Ge N Mg F
1 1 1 2
Cartesian
0.0000 0.0000 0.0000
0.0000 0.0000 1.9514
2.0678 2.0678 1.9514
0.0000 2.0678 0.0000
2.0678 0.0000 0.0000
```

DOS at the Fermi energy in states/eV per cell: 0.732
Symmetry: No. 123



i (0.273 eV/atom below the next structure)